[1]
DFT (PBE-GGA) results for a relaxed structure of TmThRe.

Unit cell a=6.9936 b=6.9936 c=6.9936 alpha=151.34 beta=151.34 gamma=40.98
Closest atoms and distances in Å follow each position.
Fractional positions:
Tm: 0.0000 0.0000 0.0000  4 Re 2.98
Th: 0.2583 0.2583 0.0000  4 Re 2.97
Re: 0.6303 0.6303 0.0000  4 Th 2.97, 4 Tm 2.98

Values from the calculation:
Symmetry ... I4mm, No. 107

[2]
DFT (PBE-GGA) results for a relaxed structure of TmThZnRe.

Unit cell a=5.0055 b=5.0055 c=5.0055 alpha=60.00 beta=60.00 gamma=60.00
Closest atoms and distances in Å follow each position.
Fractional positions:
Tm: 0.0000 0.0000 0.0000  4 Re 3.07, 4 Zn 3.07
Th: 0.5000 0.5000 0.5000  4 Re 3.07, 4 Zn 3.07
Zn: 0.7500 0.7500 0.7500  4 Th 3.07, 4 Tm 3.07
Re: 0.2500 0.2500 0.2500  4 Th 3.07, 4 Tm 3.07

Values from the calculation:
Symmetry ... F-43m, No. 216

[3]
DFT (PBE-GGA) results for a relaxed structure of ThU3Re8.

Unit cell a=5.3433 b=5.3433 c=8.5121 alpha=91.69 beta=91.69 gamma=66.69
Closest atoms and distances in Å follow each position.
Fractional positions:
Th: 0.0000 0.0000 0.0000  12 Re 3.07-3.33, 2 U 3.11-3.28
U: 0.6707 0.6707 0.1597  1 U 2.79, 5 Re 3.00-3.03
U: 0.6811 0.6811 0.4871  2 U 2.79-3.05, 4 Re 3.01-3.02
U: 0.9978 0.9978 0.6343  12 Re 3.05-3.33, 1 U 3.05, 1 Th 3.11
Re: 0.1675 0.1675 0.3210  6 Re 2.57-2.74
Re: 0.1732 0.6786 0.3235  5 Re 2.60-2.91
Re: 0.3399 0.3399 0.0688  6 Re 2.67-2.74
Re: 0.3401 0.3401 0.5689  6 Re 2.57-2.70
Re: 0.5017 0.9975 0.8117  4 Re 2.56-2.78
Re: 0.5138 0.5138 0.8196  6 Re 2.56-2.78
Re: 0.6786 0.1732 0.3235  5 Re 2.60-2.91
Re: 0.9975 0.5017 0.8117  4 Re 2.56-2.78

Values from the calculation:
Symmetry ... Cm, No. 8

[4]
DFT (PBE-GGA) results for a relaxed structure of ThURe.

Unit cell a=5.7963 b=5.7963 c=5.7963 alpha=143.96 beta=143.96 gamma=51.88
Closest atoms and distances in Å follow each position.
Fractional positions:
Th: 0.0000 0.0000 0.0000  5 U 3.20-3.27, 5 Re 3.21-3.25
U: 0.3135 0.3135 0.0000  4 Re 2.85
Re: 0.6887 0.6887 0.0000  4 U 2.85

Values from the calculation:
Symmetry ... I4mm, No. 107
Energy above the lowest structure with this stoichiometry ... 0 meV per atom

[5]
DFT (PBE-GGA) results for a relaxed structure of ThURe.

Unit cell a=6.5298 b=3.2486 c=6.7151 alpha=90.00 beta=101.96 gamma=90.00
Closest atoms and distances in Å follow each position.
Fractional positions:
Th: 0.2365 0.2500 0.4389  3 Re 2.99-3.12, 2 Th 3.25, 1 U 3.26
Th: 0.7635 0.7500 0.5611  3 Re 2.99-3.12, 2 Th 3.25, 1 U 3.26
U: 0.1412 0.2500 0.9420  2 U 2.69, 3 Re 2.81-2.82
U: 0.8588 0.7500 0.0580  2 U 2.69, 3 Re 2.81-2.82
Re: 0.4463 0.7500 0.8250  3 U 2.81-2.82, 2 Re 2.82, 3 Th 2.99-3.12
Re: 0.5537 0.2500 0.1750  3 U 2.81-2.82, 2 Re 2.82, 3 Th 2.99-3.12

Values from the calculation:
Symmetry ... P2_1/m, No. 11
Energy above the lowest structure with this stoichiometry ... 68 meV per atom

[6]
DFT (PBE-GGA) results for a relaxed structure of ThU2Re9.

Unit cell a=5.3973 b=5.3973 c=9.7861 alpha=109.68 beta=109.68 gamma=56.95
Closest atoms and distances in Å follow each position.
Fractional positions:
Th: 0.0000 0.0000 0.0000  6 Re 2.96-3.13
U: 0.1615 0.1615 0.4412  12 Re 3.04-3.26, 2 U 3.05
U: 0.8385 0.8385 0.5588  12 Re 3.04-3.26, 2 U 3.05
Re: 0.0877 0.5964 0.2532  7 Re 2.53-2.74
Re: 0.3139 0.3139 0.0060  8 Re 2.67-2.94, 1 Th 2.96
Re: 0.4036 0.9123 0.7468  7 Re 2.53-2.74
Re: 0.4070 0.4070 0.7521  7 Re 2.66-2.94
Re: 0.5000 0.5000 0.5000  6 Re 2.65-2.92
Re: 0.5930 0.5930 0.2479  7 Re 2.66-2.94
Re: 0.5964 0.0877 0.2532  7 Re 2.53-2.74
Re: 0.6861 0.6861 0.9940  8 Re 2.67-2.94, 1 Th 2.96
Re: 0.9123 0.4036 0.7468  7 Re 2.53-2.74

Values from the calculation:
Symmetry ... C2/m, No. 12

These records have N(E_F) values of 1.88 5.54 17.31 4.70 10.82 14.81 states/eV/cell, in the order they appear.
These records have energy of formation from the pure elements values of 0.037 -0.058 -0.015 0.186 0.255 0.054 eV/atom, in the order they appear.